Here is a relaxed SrSc4Mn3O12 crystal from Alexandria via LeMat-Bulk. Energies are from PBE with a Hubbard U.

Output
M_tot (μB/atom): 0.5508
Density of states at the Fermi level (states/eV/cell): 15.67
VASP energy (eV per atom): -8.049

```
data_SrSc4Mn3O12
_symmetry_space_group_name_H-M 'P 1'
_symmetry_Int_Tables_number 1
_symmetry_space_group_name_Hall 'P 1'
_cell_length_a 6.761
_cell_length_b 6.761
_cell_length_c 6.761
_cell_angle_alpha 109.47
_cell_angle_beta 109.47
_cell_angle_gamma 109.47
loop_
_atom_site_label
_atom_site_type_symbol
_atom_site_fract_x
_atom_site_fract_y
_atom_site_fract_z
Sr1 Sr 0.000 0.000 0.000
Sc1 Sc 0.500 0.000 0.000
Sc2 Sc 0.500 0.500 0.500
Sc3 Sc 0.000 0.500 0.000
Sc4 Sc 0.000 0.000 0.500
Mn1 Mn 0.000 0.500 0.500
Mn2 Mn 0.500 0.500 0.000
Mn3 Mn 0.500 0.000 0.500
O1 O 0.316 0.832 0.148
O2 O 0.684 0.168 0.852
O3 O 0.684 0.832 0.515
O4 O 0.852 0.684 0.168
O5 O 0.832 0.148 0.316
O6 O 0.168 0.485 0.316
O7 O 0.485 0.316 0.168
O8 O 0.168 0.852 0.684
O9 O 0.316 0.168 0.485
O10 O 0.148 0.316 0.832
O11 O 0.832 0.515 0.684
O12 O 0.515 0.684 0.832
```